Computed, not measured: a geometry-optimized CrOsNF2 structure at the PBE+U level of DFT.

## Properties
Offset from the most stable computed form   0.438 eV per atom
Mass density   7.6 g/cm3

a b c (Å): 3.7222 3.7222 4.6367
angles (deg): 90.00 90.00 90.00
Last column: nearest neighbours and their distance in Å.
Sites, in units of the cell vectors:
F 0.0000 0.5000 0.0000  2 Cr 1.86
N 0.0000 0.0000 0.5000  2 Cr 2.32
Cr 0.0000 0.0000 0.0000  4 F 1.86
Os 0.5000 0.5000 0.5000  4 N 2.63
F 0.5000 0.0000 0.0000  2 Cr 1.86